LiVF4 | PBE with a Hubbard U | optimized geometry

Cell lengths 6.150, 5.415, 9.597 Å; angles 90.00, 95.71, 90.00 degrees
Atoms (fractional coordinates):
Li: 0.136 0.041 0.236
Li: 0.136 0.459 0.736
Li: 0.864 0.541 0.264
Li: 0.864 0.959 0.764
V: 0.372 0.533 0.133
V: 0.372 0.967 0.633
V: 0.628 0.033 0.367
V: 0.628 0.467 0.867
F: 0.111 0.116 0.697
F: 0.111 0.384 0.197
F: 0.214 0.675 0.589
F: 0.214 0.825 0.089
F: 0.333 0.100 0.428
F: 0.333 0.400 0.928
F: 0.489 0.705 0.312
F: 0.489 0.795 0.812
F: 0.511 0.205 0.188
F: 0.511 0.295 0.688
F: 0.667 0.600 0.072
F: 0.667 0.900 0.572
F: 0.786 0.175 0.911
F: 0.786 0.325 0.411
F: 0.889 0.616 0.803
F: 0.889 0.884 0.303

Energy above the most stable polymorph in this dataset: 5.8 kJ per mole of atoms
Final energy: -5.67 eV/atom
Calculated density: 2.80 g/cm³